VASP calculation (PBE) on a geometry-optimized BaRe4Ni structure.

a = 5.412 Å, b = 5.412 Å, c = 5.412 Å
α = 60.00°, β = 60.00°, γ = 60.00°
Last column: magnetic moment on the atom in μB.
Element x y z (fractional)
Re (0.374, 0.879, 0.374)  0.05
Ba (0.750, 0.750, 0.750)  0.02
Re (0.374, 0.374, 0.879)  0.05
Ni (0.000, 0.000, 0.000)  0.48
Re (0.374, 0.374, 0.374)  0.05
Re (0.879, 0.374, 0.374)  0.05

Summary:
Its crystal system is cubic. As for the space group: F-43m. The calculation puts the formation energy from the elements at 1.060 eV/atom.